Ce8CoSn4 | PBE-GGA | relaxed

Lattice parameters (Å, degrees): 4.4201 4.6324 16.9956 90.00 90.00 90.00
Space group Pmm2 (No. 25)
Unique sites:
Ce (0.0000, 0.0000, 0.0000) [1 per cell]
Ce (0.0000, 0.0000, 0.2945) [1 per cell]
Ce (0.0000, 0.5000, 0.1889) [1 per cell]
Ce (0.0000, 0.5000, 0.5169) [1 per cell]
Ce (0.5000, 0.0000, 0.5141) [1 per cell]
Ce (0.5000, 0.0000, 0.8174) [1 per cell]
Ce (0.5000, 0.5000, 0.0037) [1 per cell]
Ce (0.5000, 0.5000, 0.7045) [1 per cell]
Co (0.0000, 0.0000, 0.4369) [1 per cell]
Sn (0.0000, 0.0000, 0.6629) [1 per cell]
Sn (0.0000, 0.5000, 0.8603) [1 per cell]
Sn (0.5000, 0.0000, 0.1437) [1 per cell]
Sn (0.5000, 0.5000, 0.3661) [1 per cell]

Results
Magnetic moment: 6.212 μB/f.u.
Density of states at the Fermi level: 2.61 states/eV per atom
Electronic total energy: -5.804 eV per atom
Energy relative to the elements: -0.37 eV per atom
Volume: 26.8 Å³/atom



Ce3CoSn2 | PBE-GGA | relaxed

Lattice parameters (Å, degrees): 7.4053 11.3769 8.0697 90.00 104.80 90.00
Space group C2/m (No. 12)
Unique sites:
Ce (0.1796, 0.0000, 0.1857) [4 per cell]
Ce (0.2376, 0.1915, 0.7753) [8 per cell]
Co (0.0000, 0.1770, 0.0000) [4 per cell]
Sn (0.0000, 0.0000, 0.5000) [2 per cell]
Sn (0.0000, 0.3726, 0.5000) [4 per cell]
Sn (0.0000, 0.5000, 0.0000) [2 per cell]

Results
Magnetic moment: 1.705 μB/f.u.
Density of states at the Fermi level: 2.30 states/eV per atom
Electronic total energy: -5.774 eV per atom
Excess energy over the best structure of this formula in the dataset: 199 meV/atom
Energy relative to the elements: -0.29 eV per atom
Volume: 27.4 Å³/atom



Ce5CoSn2 | PBE-GGA | relaxed

Lattice parameters (Å, degrees): 7.1323 7.1323 8.3828 90.00 90.00 90.00
Space group I4mm (No. 107)
Unique sites:
Ce (0.0000, 0.0000, 0.0000) [2 per cell]
Ce (0.2452, 0.2452, 0.1847) [8 per cell]
Co (0.0000, 0.0000, 0.6432) [2 per cell]
Sn (0.0000, 0.5000, 0.4391) [4 per cell]

Results
Magnetic moment: 0.000 μB/f.u.
Density of states at the Fermi level: 1.92 states/eV per atom
Electronic total energy: -5.895 eV per atom
Excess energy over the best structure of this formula in the dataset: 113 meV/atom
Energy relative to the elements: -0.30 eV per atom
Volume: 26.7 Å³/atom



CeCoSn | PBE-GGA | relaxed

Lattice parameters (Å, degrees): 6.0707 6.3147 9.0550 90.00 131.64 90.00
Space group P2_1/c (No. 14)
Unique sites:
Ce (0.1889, 0.1158, 0.3992) [4 per cell]
Co (0.2976, 0.6227, 0.3262) [4 per cell]
Sn (0.3027, 0.6234, 0.6109) [4 per cell]

Results
Magnetic moment: 0.273 μB/f.u.
Density of states at the Fermi level: 1.25 states/eV per atom
Electronic total energy: -6.190 eV per atom
Energy relative to the elements: -0.51 eV per atom
Volume: 21.6 Å³/atom



- Number 2 is which compound?
  Ce3CoSn2